ErSiAg2O4: relaxed, PBE.

Calculated values
DFT total energy = -50.870 eV per cell
crystal system = tetragonal
formation energy from raw total energies = -185.1 kJ/mol of atoms
space group = No. 82

CIF file:
```
data_ErSiAg2O4
_cell_length_a 5.8757
_cell_length_b 5.8757
_cell_length_c 5.8757
_cell_angle_alpha 78.77
_cell_angle_beta 126.68
_cell_angle_gamma 126.68
_symmetry_space_group_name_H-M 'P 1'
_symmetry_Int_Tables_number 1
loop_
_symmetry_equiv_pos_as_xyz
'x,y,z'
loop_
_atom_site_label
_atom_site_type_symbol
_atom_site_fract_x
_atom_site_fract_y
_atom_site_fract_z
Er1 Er 0.5000 0.2500 0.7500
Si1 Si 0.0000 0.5000 0.5000
Ag1 Ag 0.5000 0.7500 0.2500
Ag2 Ag 0.0000 0.0000 0.0000
O1 O 0.6481 0.3966 0.4663
O2 O 0.0696 0.2514 0.6034
O3 O 0.9304 0.5337 0.1818
O4 O 0.3519 0.8182 0.7486
```

=====

ErSiAgO4: relaxed, PBE.

Calculated values
DFT total energy = -99.877 eV per cell
crystal system = monoclinic
formation energy from raw total energies = -238.0 kJ/mol of atoms
space group = No. 11

CIF file:
```
data_ErSiAgO4
_cell_length_a 5.7463
_cell_length_b 6.0480
_cell_length_c 6.7260
_cell_angle_alpha 90.00
_cell_angle_beta 103.53
_cell_angle_gamma 90.00
_symmetry_space_group_name_H-M 'P 1'
_symmetry_Int_Tables_number 1
loop_
_symmetry_equiv_pos_as_xyz
'x,y,z'
loop_
_atom_site_label
_atom_site_type_symbol
_atom_site_fract_x
_atom_site_fract_y
_atom_site_fract_z
Er1 Er 0.8089 0.7500 0.4654
Er2 Er 0.1911 0.2500 0.5346
Si1 Si 0.2742 0.7500 0.3488
Si2 Si 0.7258 0.2500 0.6512
Ag1 Ag 0.4494 0.7500 0.8888
Ag2 Ag 0.5506 0.2500 0.1112
O1 O 0.9117 0.4600 0.6667
O2 O 0.0883 0.9600 0.3333
O3 O 0.0883 0.5400 0.3333
O4 O 0.9117 0.0400 0.6667
O5 O 0.4727 0.7500 0.2075
O6 O 0.5273 0.2500 0.7925
O7 O 0.4641 0.7500 0.5764
O8 O 0.5359 0.2500 0.4236
```

=====

SrErAg2O4: relaxed, PBE.

Calculated values
DFT total energy = -45.778 eV per cell
crystal system = orthorhombic
formation energy from raw total energies = -168.8 kJ/mol of atoms
space group = No. 23

CIF file:
```
data_SrErAg2O4
_cell_length_a 6.0847
_cell_length_b 5.4855
_cell_length_c 5.4855
_cell_angle_alpha 67.43
_cell_angle_beta 56.32
_cell_angle_gamma 56.32
_symmetry_space_group_name_H-M 'P 1'
_symmetry_Int_Tables_number 1
loop_
_symmetry_equiv_pos_as_xyz
'x,y,z'
loop_
_atom_site_label
_atom_site_type_symbol
_atom_site_fract_x
_atom_site_fract_y
_atom_site_fract_z
Sr1 Sr 0.0000 0.0000 0.0000
Er1 Er 0.5000 0.5000 0.5000
Ag1 Ag 0.2490 0.2510 0.2510
Ag2 Ag 0.7510 0.7490 0.7490
O1 O 0.5180 0.1006 0.4817
O2 O 0.1003 0.8994 0.5183
O3 O 0.8997 0.4817 0.1006
O4 O 0.4820 0.5183 0.8994
```

=====

ErTa5Ag2O15: relaxed, PBE.

Calculated values
DFT total energy = -404.600 eV per cell
crystal system = tetragonal
formation energy from raw total energies = -245.0 kJ/mol of atoms
space group = No. 127

CIF file:
```
data_ErTa5Ag2O15
_cell_length_a 12.5867
_cell_length_b 12.5867
_cell_length_c 3.9186
_cell_angle_alpha 90.00
_cell_angle_beta 90.00
_cell_angle_gamma 90.00
_symmetry_space_group_name_H-M 'P 1'
_symmetry_Int_Tables_number 1
loop_
_symmetry_equiv_pos_as_xyz
'x,y,z'
loop_
_atom_site_label
_atom_site_type_symbol
_atom_site_fract_x
_atom_site_fract_y
_atom_site_fract_z
Er1 Er 0.0000 0.0000 0.5000
Er2 Er 0.5000 0.5000 0.5000
Ta1 Ta 0.5000 0.0000 0.0000
Ta2 Ta 0.0000 0.5000 0.0000
Ta3 Ta 0.2097 0.0796 0.0000
Ta4 Ta 0.7903 0.9204 0.0000
Ta5 Ta 0.0796 0.7903 0.0000
Ta6 Ta 0.7097 0.4204 0.0000
Ta7 Ta 0.9204 0.2097 0.0000
Ta8 Ta 0.2903 0.5796 0.0000
Ta9 Ta 0.5796 0.7097 0.0000
Ta10 Ta 0.4204 0.2903 0.0000
Ag1 Ag 0.6633 0.1633 0.5000
Ag2 Ag 0.3367 0.8367 0.5000
Ag3 Ag 0.1633 0.3367 0.5000
Ag4 Ag 0.8367 0.6633 0.5000
O1 O 0.1864 0.0782 0.5000
O2 O 0.8136 0.9218 0.5000
O3 O 0.0782 0.8136 0.5000
O4 O 0.6864 0.4218 0.5000
O5 O 0.9218 0.1864 0.5000
O6 O 0.3136 0.5782 0.5000
O7 O 0.5782 0.6864 0.5000
O8 O 0.4218 0.3136 0.5000
O9 O 0.2235 0.7235 0.0000
O10 O 0.7765 0.2765 0.0000
O11 O 0.7235 0.7765 0.0000
O12 O 0.2765 0.2235 0.0000
O13 O 0.5000 0.0000 0.5000
O14 O 0.0000 0.5000 0.5000
O15 O 0.0574 0.1300 0.0000
O16 O 0.9426 0.8700 0.0000
O17 O 0.1300 0.9426 0.0000
O18 O 0.5574 0.3700 0.0000
O19 O 0.8700 0.0574 0.0000
O20 O 0.4426 0.6300 0.0000
O21 O 0.6300 0.5574 0.0000
O22 O 0.3700 0.4426 0.0000
O23 O 0.3409 0.9993 0.0000
O24 O 0.6591 0.0007 0.0000
O25 O 0.9993 0.6591 0.0000
O26 O 0.8409 0.5007 0.0000
O27 O 0.0007 0.3409 0.0000
O28 O 0.1591 0.4993 0.0000
O29 O 0.4993 0.8409 0.0000
O30 O 0.5007 0.1591 0.0000
```

=====

Er3TcAg3O8: relaxed, PBE.

Calculated values
DFT total energy = -101.737 eV per cell
crystal system = monoclinic
formation energy from raw total energies = -189.5 kJ/mol of atoms
space group = No. 12

CIF file:
```
data_Er3TcAg3O8
_cell_length_a 6.7261
_cell_length_b 6.7238
_cell_length_c 6.9303
_cell_angle_alpha 119.20
_cell_angle_beta 90.00
_cell_angle_gamma 120.01
_symmetry_space_group_name_H-M 'P 1'
_symmetry_Int_Tables_number 1
loop_
_symmetry_equiv_pos_as_xyz
'x,y,z'
loop_
_atom_site_label
_atom_site_type_symbol
_atom_site_fract_x
_atom_site_fract_y
_atom_site_fract_z
Er1 Er 0.5000 0.0000 0.5000
Er2 Er 0.5000 0.5000 0.5000
Er3 Er 0.0000 0.5000 0.5000
Tc1 Tc 0.0000 0.0000 0.5000
Ag1 Ag 0.0000 0.0000 0.0000
Ag2 Ag 0.0000 0.5000 0.0000
Ag3 Ag 0.5000 0.5000 0.0000
O1 O 0.2710 0.5419 0.3140
O2 O 0.7290 0.4581 0.6860
O3 O 0.7843 0.5685 0.3143
O4 O 0.2157 0.4315 0.6857
O5 O 0.7841 0.0287 0.3141
O6 O 0.2159 0.9713 0.6859
O7 O 0.2446 0.0287 0.3141
O8 O 0.7554 0.9713 0.6859
```

=====

ErAg2TeO4: relaxed, PBE.

Calculated values
DFT total energy = -87.023 eV per cell
crystal system = monoclinic
formation energy from raw total energies = -123.9 kJ/mol of atoms
space group = No. 15

CIF file:
```
data_ErAg2TeO4
_cell_length_a 6.9398
_cell_length_b 6.9398
_cell_length_c 7.0889
_cell_angle_alpha 117.73
_cell_angle_beta 117.73
_cell_angle_gamma 72.25
_symmetry_space_group_name_H-M 'P 1'
_symmetry_Int_Tables_number 1
loop_
_symmetry_equiv_pos_as_xyz
'x,y,z'
loop_
_atom_site_label
_atom_site_type_symbol
_atom_site_fract_x
_atom_site_fract_y
_atom_site_fract_z
Er1 Er 0.0000 0.5000 0.0000
Er2 Er 0.0000 0.5000 0.5000
Ag1 Ag 0.5000 0.0000 0.0000
Ag2 Ag 0.5000 0.0000 0.5000
Ag3 Ag 0.0000 0.0000 0.5000
Ag4 Ag 0.5000 0.5000 0.0000
Te1 Te 0.5000 0.5000 0.5000
Te2 Te 0.0000 0.0000 0.0000
O1 O 0.1536 0.6613 0.8915
O2 O 0.8387 0.3464 0.6085
O3 O 0.1613 0.6536 0.3915
O4 O 0.8464 0.3387 0.1085
O5 O 0.8167 0.8425 0.0538
O6 O 0.6575 0.6833 0.4462
O7 O 0.3425 0.3167 0.5538
O8 O 0.1833 0.1575 0.9462
```

=====

Which formula does entry 4 have? ErTa5Ag2O15

=====

Copy entry 2 word for word.
ErSiAgO4: relaxed, PBE.

Calculated values
DFT total energy = -99.877 eV per cell
crystal system = monoclinic
formation energy from raw total energies = -238.0 kJ/mol of atoms
space group = No. 11

CIF file:
```
data_ErSiAgO4
_cell_length_a 5.7463
_cell_length_b 6.0480
_cell_length_c 6.7260
_cell_angle_alpha 90.00
_cell_angle_beta 103.53
_cell_angle_gamma 90.00
_symmetry_space_group_name_H-M 'P 1'
_symmetry_Int_Tables_number 1
loop_
_symmetry_equiv_pos_as_xyz
'x,y,z'
loop_
_atom_site_label
_atom_site_type_symbol
_atom_site_fract_x
_atom_site_fract_y
_atom_site_fract_z
Er1 Er 0.8089 0.7500 0.4654
Er2 Er 0.1911 0.2500 0.5346
Si1 Si 0.2742 0.7500 0.3488
Si2 Si 0.7258 0.2500 0.6512
Ag1 Ag 0.4494 0.7500 0.8888
Ag2 Ag 0.5506 0.2500 0.1112
O1 O 0.9117 0.4600 0.6667
O2 O 0.0883 0.9600 0.3333
O3 O 0.0883 0.5400 0.3333
O4 O 0.9117 0.0400 0.6667
O5 O 0.4727 0.7500 0.2075
O6 O 0.5273 0.2500 0.7925
O7 O 0.4641 0.7500 0.5764
O8 O 0.5359 0.2500 0.4236
```